## K4Pm3InO8 (PBE)

Data for crystalline K4Pm3InO8 at its relaxed geometry.

Output
Uncorrected formation energy = -2343 meV per atom
Spin magnetization = 0.0000 μB per atom
Final energy = -6.158 eV/atom

Lattice parameters (Å, degrees): 7.0985 7.0985 18.8835 90.00 90.00 120.00
Space group R-3m (No. 166, hexagonal axes)
Symmetry-distinct sites (fractional):
K1 0.0000 0.0000 0.0000 (multiplicity 3)
K2 0.0000 0.5000 0.0000 (multiplicity 9)
Pm1 0.0000 0.5000 0.5000 (multiplicity 9)
In1 0.0000 0.0000 0.5000 (multiplicity 3)
O1 0.0000 0.0000 0.2298 (multiplicity 6)
O2 0.0086 0.5043 0.2303 (multiplicity 18)

---

## K3Pr2InO6 (PBE)

Data for crystalline K3Pr2InO6 at its relaxed geometry.

Output
Uncorrected formation energy = -2197 meV per atom
Spin magnetization = 0.0000 μB per atom
Final energy = -5.976 eV/atom

Lattice parameters (Å, degrees): 6.186 10.723 6.630 90.00 107.98 90.00
Space group C2/m (No. 12)
Symmetry-distinct sites (fractional):
K1 0.000 0.000 0.000 (multiplicity 2)
K2 0.000 0.339 0.000 (multiplicity 4)
Pr1 0.000 0.167 0.500 (multiplicity 4)
In1 0.000 0.500 0.500 (multiplicity 2)
O1 0.223 0.341 0.692 (multiplicity 8)
O2 0.246 0.000 0.691 (multiplicity 4)

---

## K4Pr3InO8 (PBE)

Data for crystalline K4Pr3InO8 at its relaxed geometry.

Output
Uncorrected formation energy = -2280 meV per atom
Spin magnetization = 0.0001 μB per atom
Final energy = -6.101 eV/atom

Lattice parameters (Å, degrees): 7.2054 7.2054 18.9420 90.00 90.00 120.00
Space group R-3m (No. 166, hexagonal axes)
Symmetry-distinct sites (fractional):
K1 0.0000 0.0000 0.0000 (multiplicity 3)
K2 0.0000 0.5000 0.0000 (multiplicity 9)
Pr1 0.0000 0.5000 0.5000 (multiplicity 9)
In1 0.0000 0.0000 0.5000 (multiplicity 3)
O1 0.0000 0.0000 0.2307 (multiplicity 6)
O2 0.0122 0.5061 0.2309 (multiplicity 18)

---

## K3Pr3InO8 (PBE)

Data for crystalline K3Pr3InO8 at its relaxed geometry.

Output
Uncorrected formation energy = -2240 meV per atom
Spin magnetization = 0.0832 μB per atom
Final energy = -6.242 eV/atom

Lattice parameters (Å, degrees): 7.2217 7.2217 18.9829 90.00 90.00 120.00
Space group R-3m (No. 166, hexagonal axes)
Symmetry-distinct sites (fractional):
K1 0.0000 0.5000 0.0000 (multiplicity 9)
Pr1 0.0000 0.5000 0.5000 (multiplicity 9)
In1 0.0000 0.0000 0.5000 (multiplicity 3)
O1 0.0000 0.0000 0.2298 (multiplicity 6)
O2 0.0216 0.5108 0.2271 (multiplicity 18)

---

## KPrInSbO6 (PBE)

Data for crystalline KPrInSbO6 at its relaxed geometry.

Output
Uncorrected formation energy = -1892 meV per atom
Spin magnetization = 0.0000 μB per atom
Final energy = -6.141 eV/atom

Lattice parameters (Å, degrees): 8.206 8.206 8.206 90.00 90.00 90.00
Space group F-43m (No. 216)
Symmetry-distinct sites (fractional):
K1 0.000 0.000 0.000 (multiplicity 4)
Pr1 0.000 0.000 0.500 (multiplicity 4)
In1 0.250 0.250 0.250 (multiplicity 4)
Sb1 0.250 0.250 0.750 (multiplicity 4)
O1 0.009 0.250 0.750 (multiplicity 24)

---

## K3In2PtO6 (PBE)

Data for crystalline K3In2PtO6 at its relaxed geometry.

Output
Uncorrected formation energy = -1285 meV per atom
Spin magnetization = 0.0834 μB per atom
Final energy = -4.998 eV/atom

Lattice parameters (Å, degrees): 6.001 9.860 6.449 90.00 109.79 90.00
Space group C2/m (No. 12)
Symmetry-distinct sites (fractional):
K1 0.000 0.000 0.000 (multiplicity 2)
K2 0.000 0.335 0.000 (multiplicity 4)
In1 0.000 0.164 0.500 (multiplicity 4)
Pt1 0.000 0.500 0.500 (multiplicity 2)
O1 0.212 0.000 0.704 (multiplicity 4)
O2 0.217 0.341 0.675 (multiplicity 8)

---

## KPu2InO8 (PBE)

Data for crystalline KPu2InO8 at its relaxed geometry.

Output
Uncorrected formation energy = -1989 meV per atom
Spin magnetization = 0.3333 μB per atom
Final energy = -8.003 eV/atom

Lattice parameters (Å, degrees): 5.519 5.519 10.438 90.00 90.00 90.00
Space group I-4 (No. 82)
Symmetry-distinct sites (fractional):
K1 0.000 0.000 0.000 (multiplicity 2)
Pu1 0.000 0.000 0.500 (multiplicity 2)
Pu2 0.000 0.500 0.750 (multiplicity 2)
In1 0.000 0.500 0.250 (multiplicity 2)
O1 0.180 0.731 0.612 (multiplicity 8)
O2 0.206 0.759 0.353 (multiplicity 8)

---

## KPuIn2O6 (PBE)

Data for crystalline KPuIn2O6 at its relaxed geometry.

Output
Uncorrected formation energy = -1900 meV per atom
Spin magnetization = 0.3000 μB per atom
Final energy = -6.965 eV/atom

Lattice parameters (Å, degrees): 5.8091 5.8091 15.3068 90.00 90.00 120.00
Space group R3 (No. 146, hexagonal axes)
Symmetry-distinct sites (fractional):
K1 0.0000 0.0000 0.0000 (multiplicity 3)
Pu1 0.0000 0.0000 0.4655 (multiplicity 3)
In1 0.0000 0.0000 0.2595 (multiplicity 3)
In2 0.0000 0.0000 0.7773 (multiplicity 3)
O1 0.9997 0.3447 0.5272 (multiplicity 9)
O2 0.0302 0.5886 0.0397 (multiplicity 9)